Entry from the Alexandria database: a relaxed structure of PuMg4Sn2 (PBE).

The value obtained for the formation energy is -0.1664 eV per atom. For the offset from the most stable computed form, the calculation gives 0 meV/atom. The calculated density comes out at 5527 kg/m3.

It has space group P4_2/mnm (No. 136), with a = 8.7050 Å, b = 8.7050 Å, c = 4.5881 Å, α = 90.00°, β = 90.00° and γ = 90.00°. The asymmetric unit holds Pu at (0.0000, 0.0000, 0.0000), Mg at (0.0978, 0.3472, 0.5000) and Sn at (0.1990, 0.8010, 0.5000).